FeTc2F | PBE with a Hubbard U | relaxed

POSCAR file:
```
FeTc2F
1.0
5.946 0.000 0.000
0.000 5.946 0.000
0.000 0.000 5.946
Fe Tc F
4 8 4
Direct
0.000 0.000 0.000 Fe
0.000 0.500 0.500 Fe
0.500 0.000 0.500 Fe
0.500 0.500 0.000 Fe
0.250 0.250 0.250 Tc
0.250 0.250 0.750 Tc
0.250 0.750 0.250 Tc
0.250 0.750 0.750 Tc
0.750 0.250 0.250 Tc
0.750 0.250 0.750 Tc
0.750 0.750 0.250 Tc
0.750 0.750 0.750 Tc
0.000 0.000 0.500 F
0.000 0.500 0.000 F
0.500 0.000 0.000 F
0.500 0.500 0.500 F
```

Output
* relative energy among the computed polymorphs: 0 meV/atom
* final energy: -103.393 eV for the cell shown
* DOS at the Fermi energy: 12.991 states/eV per cell
* space group: No. 225